[1]
# TlCoSi2N (GGA-PBE, relaxed)
data_TlCoSi2N
_symmetry_space_group_name_H-M 'P 4/m m m'
_symmetry_Int_Tables_number 123
_symmetry_space_group_name_Hall '-P 4 2'
_cell_length_a 4.205
_cell_length_b 4.205
_cell_length_c 5.123
_cell_angle_alpha 90.00
_cell_angle_beta 90.00
_cell_angle_gamma 90.00
loop_
_atom_site_label
_atom_site_type_symbol
_atom_site_fract_x
_atom_site_fract_y
_atom_site_fract_z
_atom_site_occupancy
Tl1 Tl 0.000 0.000 0.000 1
Co1 Co 0.000 0.000 0.500 1
Si1 Si 0.000 0.500 0.500 1
N1 N 0.500 0.500 0.000 1
# - Calculated total energy: -4.752 eV per atom
# - Crystal system: tetragonal
# - Formation energy without anion corrections: 0.9766 eV/atom


[2]
# Sm12Al6Zn (GGA-PBE, relaxed)
data_Sm12Al6Zn
_symmetry_space_group_name_H-M 'R -3'
_symmetry_Int_Tables_number 148
_symmetry_space_group_name_Hall '-R 3'
_cell_length_a 14.0579
_cell_length_b 14.0579
_cell_length_c 9.6659
_cell_angle_alpha 90.00
_cell_angle_beta 90.00
_cell_angle_gamma 120.00
loop_
_atom_site_label
_atom_site_type_symbol
_atom_site_fract_x
_atom_site_fract_y
_atom_site_fract_z
_atom_site_occupancy
Sm1 Sm 0.0510 0.2475 0.4122 1
Sm2 Sm 0.0556 0.2003 0.7780 1
Al1 Al 0.0662 0.2434 0.0863 1
Zn1 Zn 0.0000 0.0000 0.5000 1
# - Calculated total energy: -4.245 eV per atom
# - Crystal system: trigonal
# - Formation energy: -0.02 eV/atom


[3]
# TlCdPt2 (GGA-PBE, relaxed)
data_TlCdPt2
_symmetry_space_group_name_H-M 'I -4 m 2'
_symmetry_Int_Tables_number 119
_symmetry_space_group_name_Hall 'I -4 -2'
_cell_length_a 4.031
_cell_length_b 4.031
_cell_length_c 9.173
_cell_angle_alpha 90.00
_cell_angle_beta 90.00
_cell_angle_gamma 90.00
loop_
_atom_site_label
_atom_site_type_symbol
_atom_site_fract_x
_atom_site_fract_y
_atom_site_fract_z
_atom_site_occupancy
Tl1 Tl 0.000 0.000 0.000 1
Cd1 Cd 0.000 0.500 0.750 1
Pt1 Pt 0.000 0.000 0.500 1
Pt2 Pt 0.000 0.500 0.250 1
# - Calculated total energy: -3.891 eV per atom
# - Crystal system: tetragonal
# - Formation energy: -0.05 eV/atom


[4]
# MgFePb2 (GGA-PBE, relaxed)
data_MgFePb2
_symmetry_space_group_name_H-M 'C 1 2/m 1'
_symmetry_Int_Tables_number 12
_cell_length_a 6.668
_cell_length_b 8.164
_cell_length_c 3.379
_cell_angle_alpha 90.00
_cell_angle_beta 91.86
_cell_angle_gamma 90.00
loop_
_symmetry_equiv_pos_as_xyz
'x,y,z'
'-x,-y,-z'
'-x,y,-z'
'x,-y,z'
'x+1/2,y+1/2,z'
'-x+1/2,-y+1/2,-z'
'-x+1/2,y+1/2,-z'
'x+1/2,-y+1/2,z'
loop_
_atom_site_label
_atom_site_type_symbol
_atom_site_fract_x
_atom_site_fract_y
_atom_site_fract_z
_atom_site_occupancy
Mg1 Mg 0.000 0.000 0.000 1
Fe1 Fe 0.000 0.500 0.000 1
Pb1 Pb 0.250 0.250 0.500 1
# - Calculated total energy: -3.974 eV per atom
# - Crystal system: monoclinic
# - Formation energy: 0.39 eV/atom


[5]
# TcHg2Rh (GGA-PBE, relaxed)
data_TcHg2Rh
_symmetry_space_group_name_H-M 'C m m m'
_symmetry_Int_Tables_number 65
_symmetry_space_group_name_Hall '-C 2 2'
_cell_length_a 3.043
_cell_length_b 4.877
_cell_length_c 9.521
_cell_angle_alpha 90.00
_cell_angle_beta 90.00
_cell_angle_gamma 90.00
loop_
_atom_site_label
_atom_site_type_symbol
_atom_site_fract_x
_atom_site_fract_y
_atom_site_fract_z
_atom_site_occupancy
Tc1 Tc 0.000 0.000 0.000 1
Hg1 Hg 0.000 0.500 0.255 1
Rh1 Rh 0.000 0.000 0.500 1
# - Calculated total energy: -4.021 eV per atom
# - Crystal system: orthorhombic
# - Offset from the most stable computed form: 36.0 kJ/mol of atoms
# - Formation energy: 0.56 eV/atom


[6]
# AcMgTlCd2 (GGA-PBE, relaxed)
data_AcMgTlCd2
_symmetry_space_group_name_H-M 'I -4 m 2'
_symmetry_Int_Tables_number 119
_symmetry_space_group_name_Hall 'I -4 -2'
_cell_length_a 4.692
_cell_length_b 4.692
_cell_length_c 12.736
_cell_angle_alpha 90.00
_cell_angle_beta 90.00
_cell_angle_gamma 90.00
loop_
_atom_site_label
_atom_site_type_symbol
_atom_site_fract_x
_atom_site_fract_y
_atom_site_fract_z
_atom_site_occupancy
Ac1 Ac 0.000 0.000 0.000 1
Mg1 Mg 0.000 0.500 0.250 1
Tl1 Tl 0.000 0.500 0.750 1
Cd1 Cd 0.000 0.000 0.391 1
# - Calculated total energy: -2.213 eV per atom
# - Crystal system: tetragonal
# - Formation energy: -0.23 eV/atom